Entry 1:
Computed, not measured: a relaxed Ba3NaSr3Cd2 crystal at the PBE level of DFT.

```
data_Ba3NaSr3Cd2
_cell_length_a 9.7963
_cell_length_b 9.7963
_cell_length_c 5.0273
_cell_angle_alpha 90.00
_cell_angle_beta 90.00
_cell_angle_gamma 120.00
_symmetry_space_group_name_H-M 'P -6 2 m'
_symmetry_Int_Tables_number 189
_symmetry_space_group_name_Hall 'P -6 -2'
loop_
_atom_site_label
_atom_site_type_symbol
_atom_site_fract_x
_atom_site_fract_y
_atom_site_fract_z
Ba1 Ba 0.0000 0.7231 0.0000
Na1 Na 0.0000 0.0000 0.5000
Sr1 Sr 0.0000 0.4067 0.5000
Cd1 Cd 0.3333 0.6667 0.0000
```

Calculated values
**Calculated formation energy**: -0.068 eV per atom
**Density of states at the Fermi level**: 1.11 states/eV/atom

=====

Entry 2:
Computed, not measured: a relaxed SbSe crystal at the PBE level of DFT.

```
data_SbSe
_cell_length_a 3.681
_cell_length_b 3.681
_cell_length_c 9.056
_cell_angle_alpha 90.00
_cell_angle_beta 90.00
_cell_angle_gamma 90.00
_symmetry_space_group_name_H-M 'P 4/n m m'
_symmetry_Int_Tables_number 129
loop_
_symmetry_equiv_pos_as_xyz
'x,y,z'
'-x,-y,-z'
'-y+1/2,x,z'
'y+1/2,-x,-z'
'-x+1/2,-y+1/2,z'
'x+1/2,y+1/2,-z'
'y,-x+1/2,z'
'-y,x+1/2,-z'
'x+1/2,-y,-z'
'-x+1/2,y,z'
'-y,-x,-z'
'y,x,z'
'-x,y+1/2,-z'
'x,-y+1/2,z'
'y+1/2,x+1/2,-z'
'-y+1/2,-x+1/2,z'
loop_
_atom_site_label
_atom_site_type_symbol
_atom_site_fract_x
_atom_site_fract_y
_atom_site_fract_z
Sb1 Sb 0.250 0.250 0.168
Se1 Se 0.250 0.250 0.704
```

Calculated values
**Density of states at the Fermi level**: 0.55 states/eV/atom
**Uncorrected formation energy**: 0.035 eV per atom

=====

Entry 3:
Computed, not measured: a relaxed Ba2AgSe2Br2 crystal at the PBE level of DFT.

```
data_Ba2AgSe2Br2
_cell_length_a 5.149
_cell_length_b 5.149
_cell_length_c 17.598
_cell_angle_alpha 90.00
_cell_angle_beta 90.00
_cell_angle_gamma 90.00
_symmetry_space_group_name_H-M 'I 4/m m m'
_symmetry_Int_Tables_number 139
_symmetry_space_group_name_Hall '-I 4 2'
loop_
_atom_site_label
_atom_site_type_symbol
_atom_site_fract_x
_atom_site_fract_y
_atom_site_fract_z
Ba1 Ba 0.000 0.000 0.125
Ag1 Ag 0.000 0.000 0.500
Se1 Se 0.000 0.500 0.000
Br1 Br 0.000 0.000 0.312
```

Calculated values
**Density of states at the Fermi level**: 0.39 states/eV/atom
**Uncorrected formation energy**: -1.493 eV per atom

=====

Entry 4:
Computed, not measured: a relaxed Rb4Zn crystal at the PBE level of DFT.

```
data_Rb4Zn
_cell_length_a 7.217
_cell_length_b 7.217
_cell_length_c 7.217
_cell_angle_alpha 90.00
_cell_angle_beta 90.00
_cell_angle_gamma 90.00
_symmetry_space_group_name_H-M 'P m -3 m'
_symmetry_Int_Tables_number 221
_symmetry_space_group_name_Hall '-P 4 2 3'
loop_
_atom_site_label
_atom_site_type_symbol
_atom_site_fract_x
_atom_site_fract_y
_atom_site_fract_z
Rb1 Rb 0.000 0.000 0.000
Rb2 Rb 0.000 0.500 0.500
Zn1 Zn 0.500 0.500 0.500
```

Calculated values
**Calculated formation energy**: 0.101 eV per atom
**Density of states at the Fermi level**: 0.67 states/eV/atom

=====

Entry 5:
Computed, not measured: a relaxed Pm5Pr2Nd12 crystal at the PBE level of DFT.

```
data_Pm5Pr2Nd12
_cell_length_a 16.103
_cell_length_b 9.434
_cell_length_c 8.923
_cell_angle_alpha 90.00
_cell_angle_beta 92.75
_cell_angle_gamma 90.00
_symmetry_space_group_name_H-M 'C 1 2/m 1'
_symmetry_Int_Tables_number 12
loop_
_symmetry_equiv_pos_as_xyz
'x,y,z'
'-x,-y,-z'
'-x,y,-z'
'x,-y,z'
'x+1/2,y+1/2,z'
'-x+1/2,-y+1/2,-z'
'-x+1/2,y+1/2,-z'
'x+1/2,-y+1/2,z'
loop_
_atom_site_label
_atom_site_type_symbol
_atom_site_fract_x
_atom_site_fract_y
_atom_site_fract_z
Pm1 Pm 0.000 0.000 0.000
Pm2 Pm 0.210 0.500 0.535
Pm3 Pm 0.232 0.000 0.067
Pr1 Pr 0.000 0.330 0.500
Nd1 Nd 0.059 0.500 0.845
Nd2 Nd 0.073 0.000 0.379
Nd3 Nd 0.131 0.304 0.180
Nd4 Nd 0.148 0.180 0.741
```

Calculated values
**Calculated formation energy**: 0.120 eV per atom
**Density of states at the Fermi level**: 1.31 states/eV/atom